[1]
Computed, not measured: crystalline TaTc2Hg at its relaxed geometry at the PBE level of DFT.

a = 3.221 Å, b = 4.677 Å, c = 9.116 Å
α = 90.00°, β = 90.00°, γ = 90.00°
Space group Cmmm (No. 65)
Symmetry-distinct sites (fractional):
Ta  0.000  0.000  0.000 x2
Tc  0.000  0.500  0.231 x4
Hg  0.000  0.000  0.500 x2

Calculated values
- Energy: -31.971 eV/f.u.
- Mass density: 13964 kg/m3



[2]
Computed, not measured: crystalline TaTc2Hg at its relaxed geometry at the PBE level of DFT.

a = 3.211 Å, b = 4.677 Å, c = 9.074 Å
α = 90.00°, β = 90.00°, γ = 90.00°
Space group Immm (No. 71)
Symmetry-distinct sites (fractional):
Ta  0.000  0.000  0.000 x2
Tc  0.000  0.500  0.268 x4
Hg  0.000  0.000  0.500 x2

Calculated values
- Energy: -31.461 eV/f.u.
- Mass density: 14074 kg/m3



[3]
Computed, not measured: crystalline Ta3TcHg at its relaxed geometry at the PBE level of DFT.

a = 4.930 Å, b = 4.930 Å, c = 4.930 Å
α = 90.00°, β = 90.00°, γ = 90.00°
Space group Pm-3m (No. 221)
Symmetry-distinct sites (fractional):
Ta  0.000  0.000  0.500 x3
Tc  0.500  0.500  0.500 x1
Hg  0.000  0.000  0.000 x1

Calculated values
- Energy: -33.315 eV/f.u.
- Mass density: 11661 kg/m3



no.,formation energy from the elements (meV per atom)
1,229
2,356
3,2582